(1)
Material: FeHgAu2
Method: DFT, PBE
State: optimized geometry

Cell: 5.6902 5.6902 5.6902 Å, 149.81 128.77 60.62°
With the nearest neighbours (Å) after each atom.
Sites, in units of the cell vectors:
Au1 0.9966 0.9966 0.0000  4 Fe 2.87, 4 Au 2.96-3.00, 2 Hg 3.04
Au2 0.7315 0.2315 0.5000  2 Fe 2.67, 4 Hg 2.89, 2 Au 2.96
Hg1 0.2667 0.7667 0.5000  2 Fe 2.77, 6 Au 2.89-3.04, 2 Hg 2.96
Fe1 0.5052 0.5052 0.0000  6 Au 2.67-2.87, 2 Hg 2.77, 2 Fe 2.96

Properties
The value obtained for the volume is 17.904 Å³/atom. For the density of states at the Fermi level, the calculation gives 2.425 states/eV/f.u. Its formation energy from the elements is 95 kJ/mol of formula units.


(2)
Material: Li5MnPd6
Method: DFT, PBE
State: optimized geometry

Cell: 4.2718 6.0226 7.3708 Å, 114.11 106.84 90.00°
With the nearest neighbours (Å) after each atom.
Sites, in units of the cell vectors:
Li1 0.6638 0.1638 0.3276  8 Pd 2.59-2.62
Li2 0.6682 0.6682 0.3364  8 Pd 2.59-2.61
Li3 0.3318 0.3318 0.6636  8 Pd 2.59-2.61
Li4 0.0000 0.5000 0.0000  8 Pd 2.60
Li5 0.3362 0.8362 0.6724  8 Pd 2.59-2.62
Pd1 0.8328 0.0851 0.6656  7 Li 2.59-2.62, 1 Mn 2.62
Pd2 0.8328 0.5804 0.6656  7 Li 2.59-2.62, 1 Mn 2.62
Pd3 0.1672 0.4196 0.3344  7 Li 2.59-2.62, 1 Mn 2.62
Pd4 0.1672 0.9149 0.3344  7 Li 2.59-2.62, 1 Mn 2.62
Pd5 0.5000 0.2544 0.0000  6 Li 2.59-2.61, 2 Mn 2.63
Pd6 0.5000 0.7456 0.0000  6 Li 2.59-2.61, 2 Mn 2.63
Mn1 0.0000 0.0000 0.0000  8 Pd 2.62-2.63

Properties
The value obtained for the volume is 13.677 Å³/atom. For the density of states at the Fermi level, the calculation gives 2.889 states/eV/f.u. Its formation energy from the elements is -477 kJ/mol of formula units.


(3)
Material: Ni8W
Method: DFT, PBE
State: optimized geometry

Cell: 3.5798 5.6317 5.6317 Å, 95.80 108.53 71.47°
With the nearest neighbours (Å) after each atom.
Sites, in units of the cell vectors:
Ni1 0.6660 0.3340 0.6660  11 Ni 2.51-2.53, 1 W 2.52
Ni2 0.0000 0.6660 0.6660  11 Ni 2.51-2.53, 1 W 2.52
Ni3 0.6669 0.0000 0.3339  10 Ni 2.52-2.53, 2 W 2.53
Ni4 0.6669 0.6661 0.0000  10 Ni 2.52-2.53, 2 W 2.53
Ni5 0.3340 0.6660 0.3340  11 Ni 2.51-2.53, 1 W 2.52
Ni6 0.3331 0.3339 0.0000  10 Ni 2.52-2.53, 2 W 2.53
Ni7 0.3331 0.0000 0.6661  10 Ni 2.52-2.53, 2 W 2.53
Ni8 0.0000 0.3340 0.3340  11 Ni 2.51-2.53, 1 W 2.52
W1 0.0000 0.0000 0.0000  12 Ni 2.52-2.53

Properties
The value obtained for the volume is 11.341 Å³/atom. For the density of states at the Fermi level, the calculation gives 13.591 states/eV/f.u. Its formation energy from the elements is -58 kJ/mol of formula units.


(4)
Material: ScHNO2
Method: DFT, PBE
State: optimized geometry

Cell: 4.0784 4.0784 4.5706 Å, 90.00 90.00 90.00°
With the nearest neighbours (Å) after each atom.
Sites, in units of the cell vectors:
N1 0.0000 0.0000 0.5000  2 Sc 2.29
H1 0.5000 0.5000 0.5000  4 N 2.88, 8 O 3.06
Sc1 0.0000 0.0000 0.0000  4 O 2.04
O1 0.5000 0.0000 0.0000  2 Sc 2.04
O2 0.0000 0.5000 0.0000  2 Sc 2.04

Properties
The value obtained for the volume is 15.205 Å³/atom. For the density of states at the Fermi level, the calculation gives 1.852 states/eV/f.u.


The calculation returns the following total DFT energy (no corrections) values, one per record and in order: -3.585; -4.570; -6.645; -5.441 eV per atom.